1.
Here is an optimized crystal structure of Ta3NbC from Alexandria via LeMat-Bulk. Energies are from GGA-PBE.

Lattice parameters (Å, degrees): 4.337 4.337 4.337 90.00 90.00 90.00
Positions (direct):
Nb  0.500  0.500  0.500
C  0.000  0.000  0.000
Ta  0.000  0.500  0.000
Ta  0.000  0.000  0.500
Ta  0.500  0.000  0.000

Calculated values
excess energy over the best structure of this formula in the dataset = 143 meV per atom
E = -11.11 eV per atom
formation energy = -0.140 eV per atom
ρ = 13.19 Mg/m³

***

2.
Here is an optimized crystal structure of Ta3NbC3 from Alexandria via LeMat-Bulk. Energies are from GGA-PBE.

Lattice parameters (Å, degrees): 7.212 7.724 5.869 51.59 49.55 51.32
Positions (direct):
Ta  0.228  0.613  0.301
Ta  0.824  0.171  0.325
Ta  0.721  0.896  0.272
Ta  0.279  0.104  0.728
Ta  0.176  0.829  0.675
Ta  0.772  0.387  0.699
Nb  0.704  0.729  0.948
Nb  0.296  0.271  0.052
C  0.490  0.731  0.765
C  0.746  0.066  0.796
C  0.999  0.417  0.825
C  0.001  0.583  0.175
C  0.254  0.934  0.204
C  0.510  0.269  0.235

Calculated values
E = -10.78 eV per atom
formation energy = -0.313 eV per atom
ρ = 12.33 Mg/m³

***

3.
Here is an optimized crystal structure of Ta3NbC from Alexandria via LeMat-Bulk. Energies are from GGA-PBE.

Lattice parameters (Å, degrees): 4.850 4.850 4.850 90.00 90.00 90.00
Positions (direct):
Nb  0.000  0.000  0.000
C  0.500  0.500  0.500
Ta  0.000  0.500  0.000
Ta  0.000  0.000  0.500
Ta  0.500  0.000  0.000

Calculated values
excess energy over the best structure of this formula in the dataset = 3207 meV per atom
E = -8.05 eV per atom
formation energy = 2.924 eV per atom
ρ = 9.43 Mg/m³